Entry 1:
PPdCl2O | PBE | relaxed

Summary:
The calculation puts the formation energy (no corrections) at 3.6 eV per formula unit. The value obtained for the density of states at the Fermi level is 3.9 states/eV per cell. Its total magnetic moment is 1.0 μB per cell. The symmetry is P4/mmm, No. 123. The value obtained for the excess energy over the best structure of this formula in the dataset is 311 meV/atom. The total energy comes out at -3.14 eV per atom. The value obtained for the calculated volume is 22.2 Å³ per atom.

a = 4.9097 Å, b = 4.9097 Å, c = 4.6036 Å
α = 90.00°, β = 90.00°, γ = 90.00°
With the nearest neighbours (Å) after each atom.
Element x y z (fractional)
P1 0.0000 0.0000 0.5000  2 Pd 2.30
Cl1 0.5000 0.0000 0.0000  2 Pd 2.45
Cl2 0.0000 0.5000 0.0000  2 Pd 2.45
O1 0.5000 0.5000 0.5000  8 Cl 3.37, 4 P 3.47
Pd1 0.0000 0.0000 0.0000  2 P 2.30, 4 Cl 2.45


Entry 2:
PPdCl2O | PBE | relaxed

Summary:
The calculation puts the formation energy (no corrections) at 2.0 eV per formula unit. The value obtained for the density of states at the Fermi level is 6.2 states/eV per cell. Its total magnetic moment is 1.2 μB per cell. The symmetry is P4/mmm, No. 123. The value obtained for the excess energy over the best structure of this formula in the dataset is 0 meV/atom. The total energy comes out at -3.45 eV per atom. The value obtained for the calculated volume is 19.9 Å³ per atom.

a = 5.4991 Å, b = 5.4991 Å, c = 3.2963 Å
α = 90.00°, β = 90.00°, γ = 90.00°
With the nearest neighbours (Å) after each atom.
Element x y z (fractional)
O1 0.0000 0.0000 0.0000  2 P 1.65
Pd1 0.5000 0.5000 0.5000  8 Cl 3.21, 2 Pd 3.30
Cl1 0.0000 0.5000 0.0000  2 O 2.75
Cl2 0.5000 0.0000 0.0000  2 O 2.75
P1 0.0000 0.0000 0.5000  2 O 1.65


Entry 3:
P2PdClO | PBE | relaxed

Summary:
The calculation puts the formation energy (no corrections) at 5.4 eV per formula unit. The value obtained for the density of states at the Fermi level is 5.1 states/eV per cell. Its total magnetic moment is 0.0 μB per cell. The symmetry is P4/mmm, No. 123. The value obtained for the excess energy over the best structure of this formula in the dataset is 625 meV/atom. The total energy comes out at -3.48 eV per atom. The value obtained for the calculated volume is 20.4 Å³ per atom.

a = 4.6389 Å, b = 4.6389 Å, c = 4.7427 Å
α = 90.00°, β = 90.00°, γ = 90.00°
With the nearest neighbours (Å) after each atom.
Element x y z (fractional)
P1 0.5000 0.0000 0.0000  2 Pd 2.32
P2 0.0000 0.5000 0.0000  2 Pd 2.32
O1 0.5000 0.5000 0.5000  4 Cl 3.28, 8 P 3.32
Cl1 0.0000 0.0000 0.5000  2 Pd 2.37
Pd1 0.0000 0.0000 0.0000  4 P 2.32, 2 Cl 2.37


Entry 4:
P2PdClO | PBE | relaxed

Summary:
The calculation puts the formation energy (no corrections) at 3.4 eV per formula unit. The value obtained for the density of states at the Fermi level is 6.5 states/eV per cell. Its total magnetic moment is 0.0 μB per cell. The symmetry is P4/mmm, No. 123. The value obtained for the excess energy over the best structure of this formula in the dataset is 214 meV/atom. The total energy comes out at -3.89 eV per atom. The value obtained for the calculated volume is 18.0 Å³ per atom.

a = 4.7708 Å, b = 4.7708 Å, c = 3.9462 Å
α = 90.00°, β = 90.00°, γ = 90.00°
With the nearest neighbours (Å) after each atom.
Element x y z (fractional)
P1 0.5000 0.0000 0.0000  2 Pd 2.39
P2 0.0000 0.5000 0.0000  2 Pd 2.39
Pd1 0.0000 0.0000 0.0000  2 O 1.97
O1 0.0000 0.0000 0.5000  2 Pd 1.97
Cl1 0.5000 0.5000 0.5000  8 P 3.10, 4 O 3.37


Entry 5:
Pr4PClO8 | PBE | relaxed

Summary:
The calculation puts the formation energy (no corrections) at -43.5 eV per formula unit. The value obtained for the density of states at the Fermi level is 0.0 states/eV per cell. Its total magnetic moment is 0.0 μB per cell. The symmetry is Pmn2_1, No. 31. The total energy comes out at -7.83 eV per atom. The value obtained for the calculated volume is 16.4 Å³ per atom.

a = 5.8942 Å, b = 5.8847 Å, c = 13.2290 Å
α = 90.00°, β = 90.00°, γ = 90.00°
With the nearest neighbours (Å) after each atom.
Element x y z (fractional)
O1 0.2483 0.5394 0.5000  1 P 1.57
O2 0.8048 0.7556 0.7669  4 Pr 2.36-2.41
O3 0.3048 0.2444 0.7331  4 Pr 2.36-2.41
O4 0.5124 0.2028 0.5000  1 P 1.56
O5 0.6247 0.5643 0.4051  1 P 1.55
O6 0.2979 0.7588 0.2522  4 Pr 2.36-2.39
O7 0.3048 0.2444 0.2669  4 Pr 2.36-2.41
O8 0.0124 0.7972 0.0000  1 P 1.56
O9 0.8048 0.7556 0.2331  4 Pr 2.36-2.41
O10 0.7979 0.2412 0.7522  4 Pr 2.36-2.39
O11 0.1247 0.4357 0.9051  1 P 1.55
O12 0.6247 0.5643 0.5949  1 P 1.55
O13 0.2979 0.7588 0.7478  4 Pr 2.36-2.39
O14 0.7483 0.4606 0.0000  1 P 1.57
O15 0.1247 0.4357 0.0949  1 P 1.55
O16 0.7979 0.2412 0.2478  4 Pr 2.36-2.39
Pr1 0.0361 0.5092 0.6681  6 O 2.38-2.63
Pr2 0.0656 0.0132 0.1609  5 O 2.36-2.50
Pr3 0.5361 0.4908 0.8319  6 O 2.38-2.63
Pr4 0.5361 0.4908 0.1681  6 O 2.38-2.63
Pr5 0.5656 0.9868 0.3391  5 O 2.36-2.50
Pr6 0.0361 0.5092 0.3319  6 O 2.38-2.63
Pr7 0.0656 0.0132 0.8391  5 O 2.36-2.50
Pr8 0.5656 0.9868 0.6609  5 O 2.36-2.50
P1 0.5045 0.4677 0.5000  4 O 1.55-1.57
P2 0.0045 0.5323 0.0000  4 O 1.55-1.57
Cl1 0.9748 0.9924 0.5000  2 O 2.99-3.12, 2 Pr 3.22
Cl2 0.4748 0.0076 0.0000  2 O 2.99-3.12, 2 Pr 3.22


Entry 6:
PPtCl2O | PBE | relaxed

Summary:
The calculation puts the formation energy (no corrections) at 4.9 eV per formula unit. The value obtained for the density of states at the Fermi level is 3.6 states/eV per cell. Its total magnetic moment is 0.0 μB per cell. The symmetry is P4/mmm, No. 123. The value obtained for the excess energy over the best structure of this formula in the dataset is 279 meV/atom. The total energy comes out at -3.04 eV per atom. The value obtained for the calculated volume is 16.3 Å³ per atom.

a = 4.4597 Å, b = 4.4597 Å, c = 4.0865 Å
α = 90.00°, β = 90.00°, γ = 90.00°
With the nearest neighbours (Å) after each atom.
Element x y z (fractional)
Cl1 0.5000 0.0000 0.0000  2 O 2.23
Cl2 0.0000 0.5000 0.0000  2 O 2.23
O1 0.0000 0.0000 0.0000  2 P 2.04, 4 Cl 2.23
Pt1 0.5000 0.5000 0.5000  8 Cl 3.02, 4 P 3.15
P1 0.0000 0.0000 0.5000  2 O 2.04


Entry 7:
PPtCl2O | PBE | relaxed

Summary:
The calculation puts the formation energy (no corrections) at 3.5 eV per formula unit. The value obtained for the density of states at the Fermi level is 6.0 states/eV per cell. Its total magnetic moment is 2.0 μB per cell. The symmetry is P4/mmm, No. 123. The value obtained for the excess energy over the best structure of this formula in the dataset is 0 meV/atom. The total energy comes out at -3.32 eV per atom. The value obtained for the calculated volume is 22.7 Å³ per atom.

a = 5.0233 Å, b = 5.0233 Å, c = 4.4904 Å
α = 90.00°, β = 90.00°, γ = 90.00°
With the nearest neighbours (Å) after each atom.
Element x y z (fractional)
P1 0.0000 0.0000 0.5000  2 Pt 2.25
Pt1 0.0000 0.0000 0.0000  2 P 2.25, 4 Cl 2.51
Cl1 0.0000 0.5000 0.0000  2 Pt 2.51
Cl2 0.5000 0.0000 0.0000  2 Pt 2.51
O1 0.5000 0.5000 0.5000  8 Cl 3.37, 4 P 3.55


Entry 8:
RbP2ClO | PBE | relaxed

Summary:
The calculation puts the formation energy (no corrections) at 7.6 eV per formula unit. The value obtained for the density of states at the Fermi level is 14.4 states/eV per cell. Its total magnetic moment is 5.2 μB per cell. The symmetry is P4/mmm, No. 123. The value obtained for the excess energy over the best structure of this formula in the dataset is 1624 meV/atom. The total energy comes out at -2.21 eV per atom. The value obtained for the calculated volume is 42.2 Å³ per atom.

a = 6.7980 Å, b = 6.7980 Å, c = 4.5614 Å
α = 90.00°, β = 90.00°, γ = 90.00°
With the nearest neighbours (Å) after each atom.
Element x y z (fractional)
P1 0.0000 0.5000 0.0000  2 Rb 3.40
P2 0.5000 0.0000 0.0000  2 Rb 3.40
O1 0.0000 0.0000 0.5000  2 Rb 2.28
Cl1 0.5000 0.5000 0.5000  8 P 4.09, 2 Cl 4.56
Rb1 0.0000 0.0000 0.0000  2 O 2.28


Entry 9:
RbP2ClO | PBE | relaxed

Summary:
The calculation puts the formation energy (no corrections) at -0.6 eV per formula unit. The value obtained for the density of states at the Fermi level is 3.9 states/eV per cell. Its total magnetic moment is 0.0 μB per cell. The symmetry is P4/mmm, No. 123. The value obtained for the excess energy over the best structure of this formula in the dataset is 0 meV/atom. The total energy comes out at -3.83 eV per atom. The value obtained for the calculated volume is 26.3 Å³ per atom.

a = 4.1070 Å, b = 4.1070 Å, c = 7.7856 Å
α = 90.00°, β = 90.00°, γ = 90.00°
With the nearest neighbours (Å) after each atom.
Element x y z (fractional)
P1 0.5000 0.0000 0.0000  2 O 2.05
P2 0.0000 0.5000 0.0000  2 O 2.05
O1 0.0000 0.0000 0.0000  4 P 2.05
Cl1 0.0000 0.0000 0.5000  4 Rb 2.90
Rb1 0.5000 0.5000 0.5000  4 Cl 2.90


Entry 10:
Rb2PCl5O | PBE | relaxed

Summary:
The calculation puts the formation energy (no corrections) at -11.7 eV per formula unit. Its total magnetic moment is 0.0 μB per cell. The symmetry is I4mm, No. 107. The total energy comes out at -3.69 eV per atom. The value obtained for the calculated volume is 27.2 Å³ per atom.

a = 7.0501 Å, b = 7.0501 Å, c = 7.0501 Å
α = 88.81°, β = 120.69°, γ = 120.69°
With the nearest neighbours (Å) after each atom.
Element x y z (fractional)
Cl1 0.4575 0.2274 0.2274  1 P 2.27
Cl2 0.0000 0.2065 0.2065  1 P 2.34
Cl3 0.0000 0.7699 0.2274  1 P 2.27
Cl4 0.5425 0.7699 0.7699  1 P 2.27
Cl5 0.0000 0.2274 0.7699  1 P 2.27
P1 0.0000 0.9742 0.9742  1 O 1.51
O1 0.0000 0.8244 0.8244  1 P 1.51
Rb1 0.5000 0.7502 0.2502  10 Cl 3.52-3.54, 2 O 3.57
Rb2 0.5000 0.2502 0.7502  10 Cl 3.52-3.54, 2 O 3.57


Entry 11:
Rb5PCl2O4 | PBE | relaxed

Summary:
The calculation puts the formation energy (no corrections) at -23.8 eV per formula unit. The value obtained for the density of states at the Fermi level is 0.0 states/eV per cell. Its total magnetic moment is 0.2 μB per cell. The symmetry is Amm2, No. 38. The total energy comes out at -4.79 eV per atom. The value obtained for the calculated volume is 25.5 Å³ per atom.

a = 6.8489 Å, b = 6.1452 Å, c = 8.7643 Å
α = 90.00°, β = 90.00°, γ = 123.87°
With the nearest neighbours (Å) after each atom.
Element x y z (fractional)
Rb1 0.4937 0.0000 0.5000  4 Cl 3.12-3.22, 2 O 3.12
Rb2 0.0841 0.3711 0.7990  1 O 2.77
Rb3 0.7130 0.6289 0.7990  1 O 2.77
Rb4 0.0841 0.3711 0.2010  1 O 2.77
Rb5 0.7130 0.6289 0.2010  1 O 2.77
O1 0.5376 0.0000 0.1455  1 P 1.58
O2 0.1415 0.7498 0.0000  1 P 1.58
O3 0.3917 0.2502 0.0000  1 P 1.58
O4 0.5376 0.0000 0.8545  1 P 1.58
P1 0.4014 0.0000 0.0000  4 O 1.58
Cl1 0.3570 0.4059 0.5000  6 Rb 3.12-3.31
Cl2 0.9511 0.5941 0.5000  6 Rb 3.12-3.31


Entry 12:
RbPClO3 | PBE | relaxed

Summary:
The calculation puts the formation energy (no corrections) at -10.1 eV per formula unit. The value obtained for the density of states at the Fermi level is 5.9 states/eV per cell. Its total magnetic moment is 0.4 μB per cell. The symmetry is C2/c, No. 15. The total energy comes out at -5.53 eV per atom. The value obtained for the calculated volume is 23.3 Å³ per atom.

a = 4.7366 Å, b = 9.2092 Å, c = 7.9117 Å
α = 54.41°, β = 87.19°, γ = 85.17°
With the nearest neighbours (Å) after each atom.
Element x y z (fractional)
O1 0.7500 0.1575 0.6851  1 P 1.53
O2 0.5403 0.0872 0.0524  2 P 1.61-1.80
O3 0.4597 0.9128 0.9476  2 P 1.61-1.80
O4 0.2500 0.8425 0.3149  1 P 1.53
O5 0.0403 0.1396 0.9476  2 P 1.61-1.80
O6 0.9597 0.8604 0.0524  2 P 1.61-1.80
Rb1 0.7500 0.7412 0.5176  2 O 2.70
Rb2 0.2500 0.2588 0.4824  2 O 2.70
P1 0.2500 0.9616 0.0769  3 O 1.53-1.61
P2 0.7500 0.0384 0.9231  3 O 1.53-1.61
Cl1 0.7500 0.4846 0.0309  2 Cl 2.40
Cl2 0.2500 0.5154 0.9691  2 Cl 2.40